CaLa12Cd6 | GGA-PBE | optimized geometry

abc: 8.4653 8.4653 8.4653
angles: 88.28 88.28 88.28
Positions (direct):
Ca: 0.0000 0.0000 0.0000
La: 0.8137 0.5336 0.4325
La: 0.4325 0.8137 0.5336
La: 0.5336 0.4325 0.8137
La: 0.1863 0.4664 0.5675
La: 0.5675 0.1863 0.4664
La: 0.4664 0.5675 0.1863
La: 0.0444 0.1600 0.3954
La: 0.8400 0.6046 0.9556
La: 0.6046 0.9556 0.8400
La: 0.9556 0.8400 0.6046
La: 0.1600 0.3954 0.0444
La: 0.3954 0.0444 0.1600
Cd: 0.7424 0.8857 0.2560
Cd: 0.7440 0.2576 0.1143
Cd: 0.1143 0.7440 0.2576
Cd: 0.2576 0.1143 0.7440
Cd: 0.2560 0.7424 0.8857
Cd: 0.8857 0.2560 0.7424

Magnetic moment (μB per formula unit): 0.00
Energy (eV per atom): -3.636
Crystal system: trigonal
Formation enthalpy at 0 K (meV/atom): -130